The following is a GGA-PBE calculation of a relaxed YBH6 crystal, from the Alexandria database.

a b c (Å): 3.8877 3.8877 3.8877
angles (deg): 100.10 100.10 100.10
Fractional coordinates of all 8 atoms:
Y  0.0000  0.0000  0.0000
B  0.5000  0.5000  0.5000
H  0.2379  0.2379  0.5693
H  0.2379  0.5693  0.2379
H  0.4307  0.7621  0.7621
H  0.5693  0.2379  0.2379
H  0.7621  0.4307  0.7621
H  0.7621  0.7621  0.4307

Computed properties:
- energy (eV/f.u.) = -34.00